Entry 1:
An optimized crystal structure of ZrScHgRu, computed with PBE-GGA.

Summary:
polymorph energy (0 for the lowest one)	0.000	eV/f.u.
D(E_F)	0.4774	states/eV per atom
SG	P4mm

Lattice parameters (Å, degrees): 3.254 3.254 7.375 90.00 90.00 90.00
Positions (direct):
Zr: 0.500 0.500 0.787
Sc: 0.500 0.500 0.350
Hg: 0.000 0.000 0.078
Ru: 0.000 0.000 0.569

=====

Entry 2:
An optimized crystal structure of PmPrSm4Se8, computed with PBE-GGA.

Summary:
formation energy (no corrections)	-24.19	eV per formula unit
D(E_F)	0.6410	states/eV per atom
SG	R3m

Lattice parameters (Å, degrees): 8.632 8.632 8.642 60.04 60.04 60.00
Positions (direct):
Pm: 0.000 0.000 0.001
Pr: 0.375 0.375 0.876
Sm: 0.625 0.625 0.125
Sm: 0.999 0.502 0.499
Sm: 0.502 0.999 0.499
Sm: 0.999 0.999 0.499
Se: 0.242 0.778 0.739
Se: 0.778 0.242 0.739
Se: 0.242 0.242 0.739
Se: 0.240 0.240 0.280
Se: 0.756 0.229 0.258
Se: 0.229 0.756 0.258
Se: 0.756 0.756 0.258
Se: 0.757 0.757 0.728

=====

Entry 3:
An optimized crystal structure of LiFeSn, computed with PBE-GGA.

Summary:
D(E_F)	0.6469	states/eV per atom
SG	P-1
raw total energy	-4.845	eV/atom

Lattice parameters (Å, degrees): 3.126 4.201 7.827 90.30 89.87 89.99
Positions (direct):
Li: 0.248 0.749 0.883
Li: 0.752 0.251 0.117
Fe: 0.749 0.744 0.533
Fe: 0.251 0.256 0.467
Sn: 0.251 0.753 0.252
Sn: 0.749 0.247 0.748

=====

Entry 4:
An optimized crystal structure of Li2InMo, computed with PBE-GGA.

Summary:
D(E_F)	0.6386	states/eV per atom
SG	P2/m
raw total energy	-4.102	eV/atom

Lattice parameters (Å, degrees): 4.915 2.757 5.149 87.35 90.00 90.00
Positions (direct):
In: 0.500 0.750 0.750
Li: 0.000 0.955 0.030
Li: 0.000 0.545 0.470
Mo: 0.500 0.250 0.250

=====

Entry 5:
An optimized crystal structure of NaY3Zn, computed with PBE-GGA.

Summary:
polymorph energy (0 for the lowest one)	0.000	eV/f.u.
D(E_F)	2.2897	states/eV per atom
SG	Pm-3m

Lattice parameters (Å, degrees): 5.562 5.562 5.562 90.00 90.00 90.00
Positions (direct):
Y: 0.000 0.500 0.000
Y: 0.000 0.000 0.500
Y: 0.500 0.000 0.000
Na: 0.500 0.500 0.500
Zn: 0.000 0.000 0.000

=====

Entry 6:
An optimized crystal structure of KMgZn, computed with PBE-GGA.

Summary:
polymorph energy (0 for the lowest one)	1.435	eV/f.u.
D(E_F)	0.7251	states/eV per atom
SG	F-43m

Lattice parameters (Å, degrees): 5.619 5.619 5.619 60.00 60.00 60.00
Positions (direct):
K: 0.750 0.750 0.750
Mg: 0.000 0.000 0.000
Zn: 0.500 0.500 0.500

=====

Entry 7:
An optimized crystal structure of Na8ZrS6, computed with PBE-GGA.

Summary:
formation energy (no corrections)	-16.85	eV per formula unit
D(E_F)	0.0000	states/eV per atom
SG	Pmn2_1

Lattice parameters (Å, degrees): 8.337 7.871 11.708 90.00 90.00 90.00
Positions (direct):
Na: 0.361 0.000 0.954
Na: 0.639 0.500 0.454
Na: 0.925 0.795 0.162
Na: 0.075 0.705 0.662
Na: 0.075 0.295 0.662
Na: 0.925 0.205 0.162
Na: 0.444 0.721 0.683
Na: 0.556 0.779 0.183
Na: 0.556 0.221 0.183
Na: 0.444 0.279 0.683
Na: 0.790 0.789 0.843
Na: 0.210 0.711 0.343
Na: 0.210 0.289 0.343
Na: 0.790 0.211 0.843
Na: 0.266 0.000 0.512
Na: 0.734 0.500 0.012
Zr: 0.759 0.000 0.485
Zr: 0.241 0.500 0.985
S: 0.716 0.000 0.023
S: 0.284 0.500 0.523
S: 0.245 0.000 0.733
S: 0.755 0.500 0.233
S: 0.003 0.000 0.366
S: 0.997 0.500 0.866
S: 0.515 0.000 0.369
S: 0.485 0.500 0.869
S: 0.244 0.745 0.108
S: 0.756 0.755 0.608
S: 0.756 0.245 0.608
S: 0.244 0.255 0.108

=====

Entry 8:
An optimized crystal structure of AgSb6Ir, computed with PBE-GGA.

Summary:
formation energy (no corrections)	-0.59	eV per formula unit
D(E_F)	0.3656	states/eV per atom
SG	C2/m

Lattice parameters (Å, degrees): 8.423 8.423 8.267 108.62 109.21 111.34
Positions (direct):
Ag: 0.000 0.000 0.500
Ag: 0.500 0.500 0.500
Sb: 0.150 0.667 0.817
Sb: 0.850 0.333 0.183
Sb: 0.847 0.637 0.484
Sb: 0.153 0.363 0.516
Sb: 0.807 0.163 0.662
Sb: 0.193 0.837 0.338
Sb: 0.498 0.855 0.662
Sb: 0.502 0.145 0.338
Sb: 0.643 0.806 0.139
Sb: 0.357 0.194 0.861
Sb: 0.667 0.504 0.861
Sb: 0.333 0.496 0.139
Ir: 0.000 0.500 0.000
Ir: 0.500 0.000 0.000